[1]
A geometry-optimized ZnPPt2 structure, computed with PBE.

The structure in extended XYZ format:
```
4
Lattice="-1.8577 -4.7448 0.3072 -5.0783 -0.4626 0.2357 3.6317 2.1116 -2.9001" Properties=species:S:1:pos:R:3 pbc="T T T"
Zn -0.7233 0.8245 -1.3322
P 0.8870 -1.3166 -1.2965
Pt -4.8348 -3.6299 0.3785
Pt -2.1012 -1.5775 0.1645
```

Calculated values
The energy above the most stable polymorph in this dataset comes out at 231 meV/atom. Its space-group type is Immm, No. 71.

[2]
A geometry-optimized Zn2PPt structure, computed with PBE.

The structure in extended XYZ format:
```
4
Lattice="-1.0135 -0.3536 -8.2011 -3.7057 -1.1182 -7.3094 -2.9797 1.7201 -7.5215" Properties=species:S:1:pos:R:3 pbc="T T T"
Zn -5.7772 0.1863 -17.2832
Zn -1.9217 0.0620 -5.7489
P -3.8494 0.1242 -11.5160
Pt 0.0000 0.0000 0.0000
```

Calculated values
Its space-group type is R-3m, No. 166.

[3]
A geometry-optimized ZnP2Pt structure, computed with PBE.

The structure in extended XYZ format:
```
4
Lattice="-2.2049 -0.3343 -2.4800 -0.3951 -4.1140 0.9058 -3.6178 -1.8135 3.4610" Properties=species:S:1:pos:R:3 pbc="T T T"
P -0.3135 -0.2341 0.3103
P -1.8867 -1.7429 -0.3303
Pt -2.1330 -2.6111 2.2484
Zn -3.8910 -4.6375 1.8419
```

Calculated values
Its space-group type is Pm, No. 6.

[4]
A geometry-optimized ZnPPt2 structure, computed with PBE.

The structure in extended XYZ format:
```
4
Lattice="-2.5754 1.0729 2.0392 0.3666 -2.8301 1.9520 3.3494 2.4591 2.9363" Properties=species:S:1:pos:R:3 pbc="T T T"
Zn 1.5318 1.1246 1.3428
P 1.5921 1.1012 4.3595
Pt 3.1747 2.3308 2.7832
Pt -0.1340 -0.1661 2.8463
```

Calculated values
The energy above the most stable polymorph in this dataset comes out at 63 meV/atom. Its space-group type is P4mm, No. 99.

[5]
A geometry-optimized ZnP2Pt structure, computed with PBE.

The structure in extended XYZ format:
```
4
Lattice="-0.4622 -3.3531 1.1164 1.7234 -1.1995 -2.8892 4.4654 0.2383 2.5646" Properties=species:S:1:pos:R:3 pbc="T T T"
P 0.1996 0.0107 0.1146
P 2.0331 0.1085 1.1677
Pt 1.7469 -2.2167 -0.2453
Zn 3.9796 -2.0975 1.0370
```

Calculated values
Its space-group type is P4/mmm, No. 123.

[6]
A geometry-optimized ZnPPt3 structure, computed with PBE.

The structure in extended XYZ format:
```
5
Lattice="4.6058 0.0000 0.0000 0.0000 4.6058 0.0000 0.0000 0.0000 4.6058" Properties=species:S:1:pos:R:3 pbc="T T T"
P 2.3029 2.3029 2.3029
Zn 0.0000 0.0000 0.0000
Pt 0.0000 2.3029 0.0000
Pt 0.0000 0.0000 2.3029
Pt 2.3029 0.0000 0.0000
```

Calculated values
The energy above the most stable polymorph in this dataset comes out at 925 meV/atom. Its space-group type is Pm-3m, No. 221.

no.,energy relative to the elements (eV per atom)
1,-0.150
2,-0.021
3,-0.148
4,-0.318
5,0.111
6,1.028